(1)
# Y2Si2Pd | OQMD via LeMat-Bulk | PBE | optimized geometry
data_Y2Si2Pd
_chemical_formula_sum 'Y4 Si4 Pd2'
_symmetry_space_group_name_H-M 'I 4/m m m'
_symmetry_Int_Tables_number 139
_symmetry_space_group_name_Hall '-I 4 2'
_cell_length_a 3.570
_cell_length_b 3.570
_cell_length_c 16.380
_cell_angle_alpha 90.00
_cell_angle_beta 90.00
_cell_angle_gamma 90.00
loop_
_atom_site_label
_atom_site_fract_x
_atom_site_fract_y
_atom_site_fract_z
Y1 0.000 0.000 0.105
Si1 0.000 0.500 0.250
Pd1 0.000 0.000 0.500
# magnetic moment = 0.0 μB per formula unit
# final energy = -62.90 eV per cell



(2)
# YSi2Pd2 | OQMD via LeMat-Bulk | PBE | optimized geometry
data_YSi2Pd2
_chemical_formula_sum 'Y2 Si4 Pd4'
_symmetry_space_group_name_H-M 'I 4/m m m'
_symmetry_Int_Tables_number 139
_symmetry_space_group_name_Hall '-I 4 2'
_cell_length_a 4.184
_cell_length_b 4.184
_cell_length_c 10.033
_cell_angle_alpha 90.00
_cell_angle_beta 90.00
_cell_angle_gamma 90.00
loop_
_atom_site_label
_atom_site_fract_x
_atom_site_fract_y
_atom_site_fract_z
Y1 0.000 0.000 0.000
Si1 0.000 0.500 0.250
Pd1 0.000 0.000 0.367
# magnetic moment = 0.0 μB per formula unit
# final energy = -62.75 eV per cell



(3)
# Y2Si3Pd | OQMD via LeMat-Bulk | PBE | optimized geometry
data_Y2Si3Pd
_chemical_formula_sum 'Y2 Si3 Pd1'
_symmetry_space_group_name_H-M 'P -3 m 1'
_symmetry_Int_Tables_number 164
_symmetry_space_group_name_Hall '-P 3 2"'
_cell_length_a 4.7079
_cell_length_b 4.7079
_cell_length_c 7.8534
_cell_angle_alpha 90.00
_cell_angle_beta 90.00
_cell_angle_gamma 120.00
loop_
_atom_site_label
_atom_site_fract_x
_atom_site_fract_y
_atom_site_fract_z
Y1 0.3333 0.6667 0.3361
Si1 0.0000 0.5000 0.0000
Pd1 0.0000 0.0000 0.5000
# magnetic moment = 0.0 μB per formula unit
# final energy = -34.06 eV per cell



(4)
# Y3SiPd4 | OQMD via LeMat-Bulk | PBE | optimized geometry
data_Y3SiPd4
_chemical_formula_sum 'Y3 Si1 Pd4'
_symmetry_space_group_name_H-M 'P 1 m 1'
_symmetry_Int_Tables_number 6
_symmetry_space_group_name_Hall 'P -2y'
_cell_length_a 5.722
_cell_length_b 4.217
_cell_length_c 6.718
_cell_angle_alpha 90.00
_cell_angle_beta 90.68
_cell_angle_gamma 90.00
loop_
_atom_site_label
_atom_site_fract_x
_atom_site_fract_y
_atom_site_fract_z
Y1 0.000 0.000 0.000
Y2 0.251 0.000 0.500
Y3 0.732 0.500 0.361
Si1 0.487 0.500 0.830
Pd1 0.050 0.500 0.723
Pd2 0.237 0.500 0.197
Pd3 0.513 0.000 0.049
Pd4 0.705 0.000 0.663
# magnetic moment = 0.0 μB per formula unit
# final energy = -51.57 eV per cell



(5)
# YSiPd | OQMD via LeMat-Bulk | PBE | optimized geometry
data_YSiPd
_chemical_formula_sum 'Y8 Si8 Pd8'
_symmetry_space_group_name_H-M 'P m m n'
_symmetry_Int_Tables_number 59
_cell_length_a 4.330
_cell_length_b 13.964
_cell_length_c 7.465
_cell_angle_alpha 90.00
_cell_angle_beta 90.00
_cell_angle_gamma 90.00
loop_
_symmetry_equiv_pos_as_xyz
'x,y,z'
'-x,-y,-z'
'-x+1/2,-y+1/2,z'
'x+1/2,y+1/2,-z'
'x+1/2,-y,-z'
'-x+1/2,y,z'
'-x,y+1/2,-z'
'x,-y+1/2,z'
loop_
_atom_site_label
_atom_site_fract_x
_atom_site_fract_y
_atom_site_fract_z
Y1 0.250 0.001 0.210
Y2 0.250 0.250 0.299
Y3 0.250 0.750 0.292
Si1 0.250 0.104 0.591
Si2 0.250 0.657 0.910
Pd1 0.250 0.142 0.923
Pd2 0.250 0.595 0.582
# magnetic moment = 0.0 μB per formula unit
# final energy = -160.80 eV per cell



(6)
# ZnSiPd | OQMD via LeMat-Bulk | PBE | optimized geometry
data_ZnSiPd
_chemical_formula_sum 'Zn4 Si4 Pd4'
_symmetry_space_group_name_H-M 'F -4 3 m'
_symmetry_Int_Tables_number 216
_symmetry_space_group_name_Hall 'F -4 2 3'
_cell_length_a 5.847
_cell_length_b 5.847
_cell_length_c 5.847
_cell_angle_alpha 90.00
_cell_angle_beta 90.00
_cell_angle_gamma 90.00
loop_
_atom_site_label
_atom_site_fract_x
_atom_site_fract_y
_atom_site_fract_z
Zn1 0.000 0.000 0.000
Si1 0.000 0.000 0.500
Pd1 0.250 0.250 0.750
# final energy = -50.54 eV per cell



(7)
# ZnSiPd | OQMD via LeMat-Bulk | PBE | optimized geometry
data_ZnSiPd
_chemical_formula_sum 'Zn4 Si4 Pd4'
_symmetry_space_group_name_H-M 'F -4 3 m'
_symmetry_Int_Tables_number 216
_symmetry_space_group_name_Hall 'F -4 2 3'
_cell_length_a 5.785
_cell_length_b 5.785
_cell_length_c 5.785
_cell_angle_alpha 90.00
_cell_angle_beta 90.00
_cell_angle_gamma 90.00
loop_
_atom_site_label
_atom_site_fract_x
_atom_site_fract_y
_atom_site_fract_z
Zn1 0.000 0.000 0.000
Si1 0.250 0.250 0.750
Pd1 0.000 0.000 0.500
# final energy = -50.17 eV per cell



(8)
# ZnSi2Pd | OQMD via LeMat-Bulk | PBE | optimized geometry
data_ZnSi2Pd
_chemical_formula_sum 'Zn4 Si8 Pd4'
_symmetry_space_group_name_H-M 'F -4 3 m'
_symmetry_Int_Tables_number 216
_symmetry_space_group_name_Hall 'F -4 2 3'
_cell_length_a 6.229
_cell_length_b 6.229
_cell_length_c 6.229
_cell_angle_alpha 90.00
_cell_angle_beta 90.00
_cell_angle_gamma 90.00
loop_
_atom_site_label
_atom_site_fract_x
_atom_site_fract_y
_atom_site_fract_z
Zn1 0.000 0.000 0.000
Si1 0.000 0.000 0.500
Si2 0.250 0.250 0.250
Pd1 0.250 0.250 0.750
# final energy = -67.31 eV per cell



> Among the records above, which one has the lowest final energy?

YSiPd